{"formula": "K2ZrC", "functional": "PBE", "state": "optimized geometry", "lattice_angstrom": [[-11.212, 2.604, -5.113], [-2.604, -12.310, -0.559], [-7.769, -4.759, -0.900]], "species": ["K", "K", "K", "K", "Zr", "Zr", "C", "C"], "frac_coords": [[0.875, 0.691, 0.750], [0.309, 0.625, 0.250], [0.375, 0.559, 0.750], [0.441, 0.125, 0.250], [0.000, 0.000, 0.000], [0.750, 0.250, 0.500], [0.250, 0.750, 0.500], [0.500, 0.500, 0.000]], "e_form_ev_per_atom": 0.88, "total_magnetization_mub_per_cell": 0.00, "dos_at_fermi_per_ev_fu": 1.2, "energy_ev_per_fu": -16.45, "space_group": "I-42d, No. 122", "density_g_cm3": 1.79}



{"formula": "Ca3Sn7Pd4", "functional": "PBE", "state": "optimized geometry", "lattice_angstrom": [[-2.519, -2.803, -2.588], [5.815, -4.122, -5.232], [1.835, -8.317, 3.185]], "species": ["Ca", "Ca", "Ca", "Pd", "Pd", "Pd", "Pd", "Sn", "Sn", "Sn", "Sn", "Sn", "Sn", "Sn"], "frac_coords": [[0.314, 0.181, 0.190], [0.686, 0.819, 0.810], [0.000, 0.500, 0.500], [0.124, 0.100, 0.651], [0.876, 0.900, 0.349], [0.658, 0.462, 0.223], [0.342, 0.538, 0.777], [0.685, 0.174, 0.456], [0.165, 0.598, 0.072], [0.000, 0.000, 0.000], [0.499, 0.778, 0.225], [0.315, 0.826, 0.544], [0.835, 0.402, 0.928], [0.501, 0.222, 0.775]], "e_form_ev_per_atom": -0.61, "total_magnetization_mub_per_cell": 0.00, "dos_at_fermi_per_ev_fu": 5.7, "energy_ev_per_fu": -63.40, "space_group": "C2/m, No. 12", "density_g_cm3": 6.99}



{"formula": "Mn2Sb", "functional": "PBE", "state": "optimized geometry", "lattice_angstrom": [[-1.920, -3.083, -1.138], [-0.973, -0.726, 3.608], [-3.245, 2.182, -0.436]], "species": ["Mn", "Mn", "Sb"], "frac_coords": [[0.500, 0.000, 0.500], [0.000, 0.500, 0.500], [0.000, 0.000, 0.000]], "total_magnetization_mub_per_cell": 6.36, "dos_at_fermi_per_ev_fu": 2.5, "energy_ev_per_fu": -21.24, "space_group": "P4/mmm, No. 123", "density_g_cm3": 6.75}



{"formula": "MnP3", "functional": "PBE", "state": "optimized geometry", "lattice_angstrom": [[4.226, 0.033, 0.000], [-1.065, 4.090, 0.000], [0.000, 0.000, 3.110]], "species": ["P", "P", "P", "Mn"], "frac_coords": [[0.500, 0.000, 0.500], [0.500, 0.500, 0.000], [0.000, 0.500, 0.500], [0.000, 0.000, 0.000]], "e_form_ev_per_atom": 0.37, "total_magnetization_mub_per_cell": 2.68, "de_polymorph_mev_per_atom": 528, "dos_at_fermi_per_ev_fu": 1.9, "energy_ev_per_fu": -23.92, "space_group": "Cmmm, No. 65", "density_g_cm3": 4.56}



{"formula": "Dy6YSc6", "functional": "PBE", "state": "optimized geometry", "lattice_angstrom": [[6.409, 0.000, 0.000], [-3.204, 5.551, 0.000], [0.000, 0.000, 10.840]], "species": ["Dy", "Dy", "Dy", "Dy", "Dy", "Dy", "Sc", "Sc", "Sc", "Sc", "Sc", "Sc", "Y"], "frac_coords": [[0.667, 0.333, 0.000], [0.000, 0.000, 0.339], [0.333, 0.667, 0.500], [0.000, 0.000, 0.661], [0.333, 0.667, 0.000], [0.667, 0.333, 0.500], [0.000, 0.500, 0.242], [0.500, 0.500, 0.758], [0.500, 0.500, 0.242], [0.500, 0.000, 0.242], [0.500, 0.000, 0.758], [0.000, 0.500, 0.758], [0.000, 0.000, 0.000]], "e_form_ev_per_atom": 0.22, "total_magnetization_mub_per_cell": 1.78, "dos_at_fermi_per_ev_fu": 26.6, "energy_ev_per_fu": -69.22, "space_group": "P6/mmm, No. 191", "density_g_cm3": 5.74}



{"formula": "KZr3Ge", "functional": "PBE", "state": "optimized geometry", "lattice_angstrom": [[-0.228, 4.799, -2.123], [-5.248, -0.211, 0.086], [-0.006, 2.125, 4.804]], "species": ["Zr", "Zr", "Zr", "K", "Ge"], "frac_coords": [[0.000, 0.000, 0.500], [0.500, 0.000, 0.000], [0.000, 0.500, 0.000], [0.500, 0.500, 0.500], [0.000, 0.000, 0.000]], "e_form_ev_per_atom": 0.61, "total_magnetization_mub_per_cell": 0.00, "dos_at_fermi_per_ev_fu": 10.7, "energy_ev_per_fu": -28.32, "space_group": "Pm-3m, No. 221", "density_g_cm3": 4.41}



{"formula": "CsHIrCl", "functional": "PBE", "state": "optimized geometry", "lattice_angstrom": [[-2.935, -0.755, 1.624], [-2.725, -3.534, -3.460], [0.716, -5.274, 1.942]], "species": ["Ir", "Cs", "H", "Cl"], "frac_coords": [[0.203, 0.842, 0.755], [0.708, 0.389, 0.299], [0.971, 0.702, 0.620], [0.571, 0.019, 0.927]], "total_magnetization_mub_per_cell": 0.00, "de_polymorph_mev_per_atom": 159, "energy_ev_per_fu": -14.85, "space_group": "P1, No. 1", "density_g_cm3": 6.06}



{"formula": "HfP2S6", "functional": "PBE", "state": "optimized geometry", "lattice_angstrom": [[-3.066, -4.536, -2.981], [2.089, -2.089, -5.489], [3.708, -7.190, 0.607]], "species": ["Hf", "S", "S", "S", "S", "S", "S", "P", "P"], "frac_coords": [[0.333, 0.333, 0.000], [0.079, 0.697, 0.770], [0.454, 0.079, 0.770], [0.697, 0.454, 0.770], [0.925, 0.301, 0.230], [0.301, 0.543, 0.230], [0.543, 0.925, 0.230], [0.616, 0.616, 0.152], [0.717, 0.717, 0.849]], "total_magnetization_mub_per_cell": 0.00, "de_polymorph_mev_per_atom": 19, "dos_at_fermi_per_ev_fu": 0.0, "energy_ev_per_fu": -51.54, "space_group": "R3, No. 146", "density_g_cm3": 2.94}



{"formula": "Th3GeC2", "functional": "PBE", "state": "optimized geometry", "lattice_angstrom": [[3.687, 0.000, -1.045], [-0.603, 5.314, -2.127], [-0.023, -0.339, 6.949]], "species": ["Th", "Th", "Th", "Ge", "C", "C"], "frac_coords": [[0.309, 0.309, 0.618], [0.000, 0.000, 0.000], [0.691, 0.691, 0.382], [0.000, 0.500, 0.000], [0.333, 0.833, 0.666], [0.667, 0.167, 0.334]], "e_form_ev_per_atom": -0.30, "total_magnetization_mub_per_cell": 0.00, "dos_at_fermi_per_ev_fu": 2.1, "energy_ev_per_fu": -47.14, "space_group": "Immm, No. 71", "density_g_cm3": 9.89}



{"formula": "La7YEr3", "functional": "PBE", "state": "optimized geometry", "lattice_angstrom": [[5.994, -0.163, -0.208], [-2.746, 8.159, 1.006], [-2.746, -1.002, 8.160]], "species": ["Y", "La", "La", "La", "La", "La", "La", "La", "Er", "Er", "Er"], "frac_coords": [[0.500, 0.500, 0.500], [0.694, 0.982, 0.405], [0.208, 0.208, 0.208], [0.000, 0.500, 0.500], [0.694, 0.405, 0.982], [0.792, 0.792, 0.792], [0.306, 0.595, 0.018], [0.306, 0.018, 0.595], [0.000, 0.206, 0.794], [0.500, 0.000, 0.000], [0.000, 0.794, 0.206]], "e_form_ev_per_atom": 0.22, "total_magnetization_mub_per_cell": 0.00, "de_polymorph_mev_per_atom": 104, "dos_at_fermi_per_ev_fu": 15.8, "energy_ev_per_fu": -52.26, "space_group": "Immm, No. 71", "density_g_cm3": 6.54}



{"formula": "HfBeI2", "functional": "PBE", "state": "optimized geometry", "lattice_angstrom": [[6.346, 0.000, 0.000], [0.000, 6.346, 0.000], [3.173, 3.173, 5.392]], "species": ["I", "I", "I", "I", "Hf", "Hf", "Be", "Be"], "frac_coords": [[0.875, 0.820, 0.750], [0.570, 0.125, 0.250], [0.180, 0.625, 0.250], [0.375, 0.430, 0.750], [0.000, 0.000, 0.000], [0.750, 0.250, 0.500], [0.250, 0.750, 0.500], [0.500, 0.500, 0.000]], "total_magnetization_mub_per_cell": 0.00, "de_polymorph_mev_per_atom": 200, "dos_at_fermi_per_ev_fu": 1.4, "energy_ev_per_fu": -13.60, "space_group": "I-42d, No. 122", "density_g_cm3": 6.75}



{"formula": "Be2IrCl", "functional": "PBE", "state": "optimized geometry", "lattice_angstrom": [[-3.816, -1.644, 0.076], [-2.341, 0.341, 3.416], [-3.332, 2.483, -0.004]], "species": ["Ir", "Be", "Be", "Cl"], "frac_coords": [[0.500, 0.500, 0.500], [0.250, 0.250, 0.250], [0.750, 0.750, 0.750], [0.000, 0.000, 0.000]], "total_magnetization_mub_per_cell": 0.00, "de_polymorph_mev_per_atom": 1107, "dos_at_fermi_per_ev_fu": 0.6, "energy_ev_per_fu": -15.33, "space_group": "Fm-3m, No. 225", "density_g_cm3": 8.04}